(1)
# LaBe2PH | Alexandria via LeMat-Bulk | meta-GGA SCAN | PBEsol geometry
# * energy: -12.941 eV/atom
# * space group: P4/mmm (123)
# * spin magnetization: 0.0 μB/f.u.
data_LaBe2PH
_chemical_formula_sum 'La1 Be2 P1 H1'
_cell_length_a 3.847
_cell_length_b 3.847
_cell_length_c 5.113
_cell_angle_alpha 90.00
_cell_angle_beta 90.00
_cell_angle_gamma 90.00
_space_group_name_H-M_alt 'P 1'
_space_group_IT_number 1
loop_
_space_group_symop_operation_xyz
'x,y,z'
loop_
_atom_site_label
_atom_site_type_symbol
_atom_site_fract_x
_atom_site_fract_y
_atom_site_fract_z
_atom_site_occupancy
Be1 Be 0.500 0.000 0.000 1
Be2 Be 0.000 0.500 0.000 1
P1 P 0.000 0.000 0.000 1
H1 H 0.000 0.000 0.500 1
La1 La 0.500 0.500 0.500 1

(2)
# NaY3Ta | Alexandria via LeMat-Bulk | meta-GGA SCAN | PBEsol geometry
# * space group: Pm-3m (221)
# * energy relative to the elements: 0.56 eV/atom
# * spin magnetization: 0.0 μB/f.u.
data_NaY3Ta
_chemical_formula_sum 'Na1 Y3 Ta1'
_cell_length_a 5.517
_cell_length_b 5.517
_cell_length_c 5.517
_cell_angle_alpha 90.00
_cell_angle_beta 90.00
_cell_angle_gamma 90.00
_space_group_name_H-M_alt 'P 1'
_space_group_IT_number 1
loop_
_space_group_symop_operation_xyz
'x,y,z'
loop_
_atom_site_label
_atom_site_type_symbol
_atom_site_fract_x
_atom_site_fract_y
_atom_site_fract_z
_atom_site_occupancy
Y1 Y 0.500 0.000 0.000 1
Y2 Y 0.000 0.000 0.500 1
Y3 Y 0.000 0.500 0.000 1
Ta1 Ta 0.000 0.000 0.000 1
Na1 Na 0.500 0.500 0.500 1

(3)
# TeOs2W | Alexandria via LeMat-Bulk | meta-GGA SCAN | PBEsol geometry
# * energy: -61.847 eV/atom
# * space group: Pmmm (47)
# * spin magnetization: 0.0 μB/f.u.
data_TeOs2W
_chemical_formula_sum 'Te1 Os2 W1'
_cell_length_a 2.980
_cell_length_b 4.568
_cell_length_c 4.684
_cell_angle_alpha 90.00
_cell_angle_beta 90.00
_cell_angle_gamma 90.00
_space_group_name_H-M_alt 'P 1'
_space_group_IT_number 1
loop_
_space_group_symop_operation_xyz
'x,y,z'
loop_
_atom_site_label
_atom_site_type_symbol
_atom_site_fract_x
_atom_site_fract_y
_atom_site_fract_z
_atom_site_occupancy
Os1 Os 0.500 0.000 0.500 1
Os2 Os 0.000 0.000 0.000 1
W1 W 0.000 0.500 0.500 1
Te1 Te 0.500 0.500 0.000 1

(4)
# CaYOs4 | Alexandria via LeMat-Bulk | meta-GGA SCAN | PBEsol geometry
# * space group: F-43m (216)
# * energy relative to the elements: -0.17 eV/atom
# * spin magnetization: 0.0 μB/f.u.
data_CaYOs4
_chemical_formula_sum 'Ca1 Y1 Os4'
_cell_length_a 5.300
_cell_length_b 5.300
_cell_length_c 5.300
_cell_angle_alpha 60.00
_cell_angle_beta 60.00
_cell_angle_gamma 60.00
_space_group_name_H-M_alt 'P 1'
_space_group_IT_number 1
loop_
_space_group_symop_operation_xyz
'x,y,z'
loop_
_atom_site_label
_atom_site_type_symbol
_atom_site_fract_x
_atom_site_fract_y
_atom_site_fract_z
_atom_site_occupancy
Y1 Y 0.750 0.750 0.750 1
Os1 Os 0.375 0.375 0.375 1
Os2 Os 0.875 0.375 0.375 1
Os3 Os 0.375 0.375 0.875 1
Os4 Os 0.375 0.875 0.375 1
Ca1 Ca 0.000 0.000 0.000 1

(5)
# Li2CoSiO4 | Alexandria via LeMat-Bulk | meta-GGA SCAN | PBEsol geometry
# * energy: -9.459 eV/atom
# * space group: Pca2_1 (29)
# * spin magnetization: 3.0 μB/f.u.
data_Li2CoSiO4
_chemical_formula_sum 'Li16 Co8 Si8 O32'
_cell_length_a 5.194
_cell_length_b 10.274
_cell_length_c 12.908
_cell_angle_alpha 90.00
_cell_angle_beta 90.00
_cell_angle_gamma 90.00
_space_group_name_H-M_alt 'P 1'
_space_group_IT_number 1
loop_
_space_group_symop_operation_xyz
'x,y,z'
loop_
_atom_site_label
_atom_site_type_symbol
_atom_site_fract_x
_atom_site_fract_y
_atom_site_fract_z
_atom_site_occupancy
O1 O 0.845 0.490 0.809 1
O2 O 0.598 0.974 0.707 1
O3 O 0.001 0.778 0.173 1
O4 O 0.999 0.222 0.673 1
O5 O 0.845 0.010 0.309 1
O6 O 0.915 0.213 0.461 1
O7 O 0.930 0.060 0.066 1
O8 O 0.070 0.940 0.566 1
O9 O 0.085 0.787 0.961 1
O10 O 0.581 0.968 0.919 1
O11 O 0.518 0.191 0.813 1
O12 O 0.598 0.526 0.207 1
O13 O 0.001 0.722 0.673 1
O14 O 0.482 0.809 0.313 1
O15 O 0.641 0.794 0.549 1
O16 O 0.999 0.278 0.173 1
O17 O 0.402 0.026 0.207 1
O18 O 0.641 0.706 0.049 1
O19 O 0.085 0.713 0.461 1
O20 O 0.155 0.990 0.809 1
O21 O 0.518 0.309 0.313 1
O22 O 0.070 0.560 0.066 1
O23 O 0.419 0.468 0.919 1
O24 O 0.359 0.206 0.049 1
O25 O 0.482 0.691 0.813 1
O26 O 0.155 0.510 0.309 1
O27 O 0.359 0.294 0.549 1
O28 O 0.915 0.287 0.961 1
O29 O 0.402 0.474 0.707 1
O30 O 0.930 0.440 0.566 1
O31 O 0.581 0.532 0.419 1
O32 O 0.419 0.032 0.419 1
Li1 Li 0.878 0.219 0.303 1
Li2 Li 0.046 0.036 0.437 1
Li3 Li 0.384 0.283 0.700 1
Li4 Li 0.553 0.045 0.062 1
Li5 Li 0.954 0.964 0.937 1
Li6 Li 0.616 0.783 0.700 1
Li7 Li 0.447 0.545 0.062 1
Li8 Li 0.384 0.217 0.200 1
Li9 Li 0.122 0.781 0.803 1
Li10 Li 0.122 0.719 0.303 1
Li11 Li 0.616 0.717 0.200 1
Li12 Li 0.954 0.536 0.437 1
Li13 Li 0.878 0.281 0.803 1
Li14 Li 0.447 0.955 0.562 1
Li15 Li 0.553 0.455 0.562 1
Li16 Li 0.046 0.464 0.937 1
Co1 Co 0.462 0.708 0.441 1
Co2 Co 0.462 0.792 0.941 1
Co3 Co 0.538 0.292 0.941 1
Co4 Co 0.952 0.036 0.688 1
Co5 Co 0.952 0.464 0.188 1
Co6 Co 0.538 0.208 0.441 1
Co7 Co 0.048 0.536 0.688 1
Co8 Co 0.048 0.964 0.188 1
Si1 Si 0.042 0.291 0.559 1
Si2 Si 0.461 0.467 0.313 1
Si3 Si 0.958 0.709 0.059 1
Si4 Si 0.461 0.033 0.813 1
Si5 Si 0.539 0.533 0.813 1
Si6 Si 0.539 0.967 0.313 1
Si7 Si 0.958 0.791 0.559 1
Si8 Si 0.042 0.209 0.059 1

(6)
# VCrGeC | Alexandria via LeMat-Bulk | meta-GGA SCAN | PBEsol geometry
# * space group: P-3m1 (164)
# * energy relative to the elements: -0.29 eV/atom
# * spin magnetization: 0.0 μB/f.u.
data_VCrGeC
_chemical_formula_sum 'V2 Cr2 Ge2 C2'
_cell_length_a 2.932
_cell_length_b 2.932
_cell_length_c 12.015
_cell_angle_alpha 90.00
_cell_angle_beta 90.00
_cell_angle_gamma 120.00
_space_group_name_H-M_alt 'P 1'
_space_group_IT_number 1
loop_
_space_group_symop_operation_xyz
'x,y,z'
loop_
_atom_site_label
_atom_site_type_symbol
_atom_site_fract_x
_atom_site_fract_y
_atom_site_fract_z
_atom_site_occupancy
Cr1 Cr 0.333 0.667 0.416 1
Cr2 Cr 0.667 0.333 0.584 1
Ge1 Ge 0.667 0.333 0.257 1
Ge2 Ge 0.333 0.667 0.743 1
C1 C 0.000 0.000 0.500 1
C2 C 0.000 0.000 0.000 1
V1 V 0.333 0.667 0.090 1
V2 V 0.667 0.333 0.910 1